[1]
## Fe2Pd8W (GGA-PBE)

Data for Fe2Pd8W after structural relaxation.

The structure in CIF format:
```
data_Fe2Pd8W
_chemical_formula_sum 'Fe2 Pd8 W1'
_cell_length_a 6.893
_cell_length_b 6.893
_cell_length_c 4.350
_cell_angle_alpha 100.25
_cell_angle_beta 100.25
_cell_angle_gamma 116.88
_symmetry_space_group_name_H-M 'P 1'
_symmetry_Int_Tables_number 1
_symmetry_space_group_name_Hall 'P 1'
loop_
_atom_site_label
_atom_site_type_symbol
_atom_site_fract_x
_atom_site_fract_y
_atom_site_fract_z
Fe1 Fe 0.184 0.816 0.000
Fe2 Fe 0.816 0.184 0.000
Pd1 Pd 0.119 0.119 0.315
Pd2 Pd 0.185 0.418 0.895
Pd3 Pd 0.279 0.721 0.500
Pd4 Pd 0.418 0.185 0.895
Pd5 Pd 0.582 0.815 0.105
Pd6 Pd 0.721 0.279 0.500
Pd7 Pd 0.815 0.582 0.105
Pd8 Pd 0.881 0.881 0.685
W1 W 0.500 0.500 0.500
```

## Properties
**Symmetry**: C2/m
**DFT formation energy**: 1.336 eV per formula unit
**VASP energy**: -6.37 eV/atom
**Crystal system**: monoclinic


[2]
## LaHg2Os (GGA-PBE)

Data for LaHg2Os after structural relaxation.

The structure in CIF format:
```
data_LaHg2Os
_chemical_formula_sum 'La1 Hg2 Os1'
_cell_length_a 5.058
_cell_length_b 5.058
_cell_length_c 5.058
_cell_angle_alpha 60.00
_cell_angle_beta 60.00
_cell_angle_gamma 60.00
_symmetry_space_group_name_H-M 'P 1'
_symmetry_Int_Tables_number 1
_symmetry_space_group_name_Hall 'P 1'
loop_
_atom_site_label
_atom_site_type_symbol
_atom_site_fract_x
_atom_site_fract_y
_atom_site_fract_z
La1 La 0.000 0.000 0.000
Hg1 Hg 0.500 0.500 0.500
Hg2 Hg 0.750 0.750 0.750
Os1 Os 0.250 0.250 0.250
```

## Properties
**Symmetry**: F-43m
**DFT formation energy**: 1.384 eV per formula unit
**VASP energy**: -3.84 eV/atom
**Crystal system**: cubic


[3]
## LuMnPdRh (GGA-PBE)

Data for LuMnPdRh after structural relaxation.

The structure in CIF format:
```
data_LuMnPdRh
_chemical_formula_sum 'Lu1 Mn1 Pd1 Rh1'
_cell_length_a 4.582
_cell_length_b 4.582
_cell_length_c 4.582
_cell_angle_alpha 60.00
_cell_angle_beta 60.00
_cell_angle_gamma 60.00
_symmetry_space_group_name_H-M 'P 1'
_symmetry_Int_Tables_number 1
_symmetry_space_group_name_Hall 'P 1'
loop_
_atom_site_label
_atom_site_type_symbol
_atom_site_fract_x
_atom_site_fract_y
_atom_site_fract_z
Lu1 Lu 0.000 0.000 0.000
Mn1 Mn 0.500 0.500 0.500
Pd1 Pd 0.750 0.750 0.750
Rh1 Rh 0.250 0.250 0.250
```

## Properties
**Symmetry**: F-43m
**DFT formation energy**: -2.382 eV per formula unit
**VASP energy**: -7.15 eV/atom
**Crystal system**: cubic


[4]
## HPd2S (GGA-PBE)

Data for HPd2S after structural relaxation.

The structure in CIF format:
```
data_HPd2S
_chemical_formula_sum 'H1 Pd2 S1'
_cell_length_a 5.875
_cell_length_b 5.875
_cell_length_c 5.875
_cell_angle_alpha 32.11
_cell_angle_beta 32.11
_cell_angle_gamma 32.11
_symmetry_space_group_name_H-M 'P 1'
_symmetry_Int_Tables_number 1
_symmetry_space_group_name_Hall 'P 1'
loop_
_atom_site_label
_atom_site_type_symbol
_atom_site_fract_x
_atom_site_fract_y
_atom_site_fract_z
H1 H 0.000 0.000 0.000
Pd1 Pd 0.433 0.433 0.433
Pd2 Pd 0.638 0.638 0.638
S1 S 0.188 0.188 0.188
```

## Properties
**Symmetry**: R3m
**VASP energy**: -4.46 eV/atom
**Excess energy over the best structure of this formula in the dataset**: 68 meV per atom
**Crystal system**: trigonal


[5]
## K2TaRh (GGA-PBE)

Data for K2TaRh after structural relaxation.

The structure in CIF format:
```
data_K2TaRh
_chemical_formula_sum 'K2 Ta1 Rh1'
_cell_length_a 12.135
_cell_length_b 12.135
_cell_length_c 12.135
_cell_angle_alpha 14.01
_cell_angle_beta 14.01
_cell_angle_gamma 14.01
_symmetry_space_group_name_H-M 'P 1'
_symmetry_Int_Tables_number 1
_symmetry_space_group_name_Hall 'P 1'
loop_
_atom_site_label
_atom_site_type_symbol
_atom_site_fract_x
_atom_site_fract_y
_atom_site_fract_z
K1 K 0.241 0.241 0.241
K2 K 0.759 0.759 0.759
Ta1 Ta 0.000 0.000 0.000
Rh1 Rh 0.500 0.500 0.500
```

## Properties
**Symmetry**: R-3m
**DFT formation energy**: 4.205 eV per formula unit
**VASP energy**: -4.30 eV/atom
**Excess energy over the best structure of this formula in the dataset**: 660 meV per atom
**Crystal system**: trigonal


[6]
## KMgCu2Te (GGA-PBE)

Data for KMgCu2Te after structural relaxation.

The structure in CIF format:
```
data_KMgCu2Te
_chemical_formula_sum 'K1 Mg1 Cu2 Te1'
_cell_length_a 4.866
_cell_length_b 4.866
_cell_length_c 5.894
_cell_angle_alpha 90.00
_cell_angle_beta 90.00
_cell_angle_gamma 90.00
_symmetry_space_group_name_H-M 'P 1'
_symmetry_Int_Tables_number 1
_symmetry_space_group_name_Hall 'P 1'
loop_
_atom_site_label
_atom_site_type_symbol
_atom_site_fract_x
_atom_site_fract_y
_atom_site_fract_z
K1 K 0.000 0.000 0.000
Mg1 Mg 0.000 0.000 0.500
Cu1 Cu 0.000 0.500 0.500
Cu2 Cu 0.500 0.000 0.500
Te1 Te 0.500 0.500 0.000
```

## Properties
**Symmetry**: P4/mmm
**VASP energy**: -2.24 eV/atom
**Uncorrected formation energy**: 0.56 eV per atom
**Crystal system**: tetragonal


[7]
## Ca3PPb (GGA-PBE)

Data for Ca3PPb after structural relaxation.

The structure in CIF format:
```
data_Ca3PPb
_chemical_formula_sum 'Ca6 P2 Pb2'
_cell_length_a 10.574
_cell_length_b 10.574
_cell_length_c 5.761
_cell_angle_alpha 99.81
_cell_angle_beta 99.81
_cell_angle_gamma 28.98
_symmetry_space_group_name_H-M 'P 1'
_symmetry_Int_Tables_number 1
_symmetry_space_group_name_Hall 'P 1'
loop_
_atom_site_label
_atom_site_type_symbol
_atom_site_fract_x
_atom_site_fract_y
_atom_site_fract_z
Ca1 Ca 0.051 0.051 0.271
Ca2 Ca 0.165 0.165 0.815
Ca3 Ca 0.322 0.322 0.609
Ca4 Ca 0.678 0.678 0.391
Ca5 Ca 0.835 0.835 0.185
Ca6 Ca 0.949 0.949 0.729
P1 P 0.195 0.195 0.300
P2 P 0.805 0.805 0.700
Pb1 Pb 0.440 0.440 0.268
Pb2 Pb 0.560 0.560 0.732
```

## Properties
**Symmetry**: C2/m
**DFT formation energy**: -3.480 eV per formula unit
**VASP energy**: -3.72 eV/atom
**Excess energy over the best structure of this formula in the dataset**: 46 meV per atom
**Crystal system**: monoclinic


[8]
## Li3LaPd (GGA-PBE)

Data for Li3LaPd after structural relaxation.

The structure in CIF format:
```
data_Li3LaPd
_chemical_formula_sum 'Li3 La1 Pd1'
_cell_length_a 4.694
_cell_length_b 5.247
_cell_length_c 5.379
_cell_angle_alpha 69.20
_cell_angle_beta 89.95
_cell_angle_gamma 63.52
_symmetry_space_group_name_H-M 'P 1'
_symmetry_Int_Tables_number 1
_symmetry_space_group_name_Hall 'P 1'
loop_
_atom_site_label
_atom_site_type_symbol
_atom_site_fract_x
_atom_site_fract_y
_atom_site_fract_z
Li1 Li 0.000 0.000 0.000
Li2 Li 0.192 0.615 0.684
Li3 Li 0.685 0.629 0.000
La1 La 0.418 0.164 0.395
Pd1 Pd 0.757 0.486 0.523
```

## Properties
**Symmetry**: P1
**DFT formation energy**: -1.137 eV per formula unit
**VASP energy**: -3.40 eV/atom
**Excess energy over the best structure of this formula in the dataset**: 0 meV per atom
**Crystal system**: triclinic